Entry from Alexandria: a geometry-optimized CuPW2 structure (PBE-GGA).

Cell: 5.0869 5.0869 5.0869 Å, 146.10 129.59 62.14°
Closest atoms and distances in Å follow each position.
Positions (direct):
Cu 0.0000 0.0000 0.0000  2 P 2.44, 4 W 2.67
P 0.2223 0.7223 0.5000  6 W 2.44-2.63, 2 Cu 2.44
W 0.4442 0.4442 0.0000  2 P 2.44, 4 Cu 2.67
W 0.7301 0.2301 0.5000  4 P 2.63, 2 Cu 2.78, 4 W 2.86-2.90

Values from the calculation:
formation energy = 0.1807 eV per atom
size of the total moment = 0.0 μB/f.u.
V = 14.00 A^3/atom



Entry from Alexandria: a geometry-optimized Cu4PW structure (PBE-GGA).

Cell: 4.8035 4.8035 4.8035 Å, 60.00 60.00 60.00°
Closest atoms and distances in Å follow each position.
Positions (direct):
Cu 0.1248 0.1248 0.1248  6 Cu 2.40
Cu 0.1248 0.1248 0.6255  6 Cu 2.40
Cu 0.1248 0.6255 0.1248  6 Cu 2.40
Cu 0.6255 0.1248 0.1248  6 Cu 2.40
P 0.7500 0.7500 0.7500  12 Cu 2.82, 4 W 2.94
W 0.5000 0.5000 0.5000  12 Cu 2.82, 4 P 2.94

Values from the calculation:
formation energy = 0.5279 eV per atom
size of the total moment = 0.0 μB/f.u.
V = 13.06 A^3/atom



Entry from Alexandria: a geometry-optimized CuP2W structure (PBE-GGA).

Cell: 4.3158 4.3158 4.7908 Å, 92.21 92.21 41.49°
Closest atoms and distances in Å follow each position.
Positions (direct):
Cu 0.0000 0.0000 0.0000  2 P 2.29
P 0.2143 0.2143 0.7023  1 Cu 2.29, 3 W 2.48-2.54, 2 P 2.55
P 0.7857 0.7857 0.2977  1 Cu 2.29, 3 W 2.48-2.54, 2 P 2.55
W 0.5000 0.5000 0.5000  6 P 2.48-2.54

Values from the calculation:
formation energy = 0.1314 eV per atom
size of the total moment = 0.0 μB/f.u.
V = 14.77 A^3/atom



Entry from Alexandria: a geometry-optimized Cu2PW structure (PBE-GGA).

Cell: 4.5062 4.5062 4.6381 Å, 111.69 111.69 39.17°
Closest atoms and distances in Å follow each position.
Positions (direct):
Cu 0.0000 0.0000 0.0000  2 P 2.45, 3 Cu 2.45-2.54, 1 W 2.72
Cu 0.2389 0.2389 0.8306  3 Cu 2.45-2.54, 2 P 2.52
P 0.5272 0.5272 0.4316  3 W 2.39-2.42, 4 Cu 2.45-2.52
W 0.7993 0.7993 0.3756  3 P 2.39-2.42

Values from the calculation:
formation energy = 0.1278 eV per atom
size of the total moment = 0.0 μB/f.u.
V = 13.68 A^3/atom



Entry from Alexandria: a geometry-optimized CuP2W structure (PBE-GGA).

Cell: 4.6088 4.6088 4.1576 Å, 101.80 101.80 40.49°
Closest atoms and distances in Å follow each position.
Positions (direct):
Cu 0.0000 0.0000 0.0000  3 P 2.28-2.52
P 0.5008 0.5008 0.5304  3 W 2.44-2.52, 4 Cu 2.52-2.72
P 0.7485 0.7485 0.0880  1 Cu 2.28, 2 W 2.51
W 0.2198 0.2198 0.6115  5 P 2.44-2.52

Values from the calculation:
formation energy = 0.0458 eV per atom
size of the total moment = 0.0 μB/f.u.
V = 13.99 A^3/atom



Entry from Alexandria: a geometry-optimized CuP2W structure (PBE-GGA).

Cell: 6.1558 6.1558 6.1558 Å, 150.80 148.47 43.51°
Closest atoms and distances in Å follow each position.
Positions (direct):
Cu 0.0000 0.0000 0.0000  6 P 2.48-2.52
P 0.3356 0.8356 0.5000  4 W 2.48, 2 Cu 2.52
P 0.5858 0.5858 0.0000  2 W 2.43, 4 Cu 2.48
W 0.7495 0.2495 0.5000  6 P 2.43-2.48

Values from the calculation:
formation energy = 0.0317 eV per atom
size of the total moment = 0.0 μB/f.u.
V = 14.84 A^3/atom



Entry from Alexandria: a geometry-optimized CuPW structure (PBE-GGA).

Cell: 4.9330 4.9330 4.9330 Å, 144.16 144.16 51.59°
Closest atoms and distances in Å follow each position.
Positions (direct):
Cu 0.0000 0.0000 0.0000  4 P 2.58, 5 W 2.72-2.75
P 0.6611 0.6611 0.0000  4 W 2.51, 4 Cu 2.58
W 0.3065 0.3065 0.0000  4 P 2.51, 5 Cu 2.72-2.75

Values from the calculation:
formation energy = 0.1196 eV per atom
size of the total moment = 0.0 μB/f.u.
V = 13.64 A^3/atom



Entry from Alexandria: a geometry-optimized CuPW2 structure (PBE-GGA).

Cell: 2.9297 2.9297 6.5173 Å, 90.00 90.00 90.00°
Closest atoms and distances in Å follow each position.
Positions (direct):
Cu 0.0000 0.0000 0.0000  8 W 2.73, 4 Cu 2.93
P 0.0000 0.0000 0.5000  8 W 2.55
W 0.5000 0.5000 0.2720  4 P 2.55, 4 Cu 2.73
W 0.5000 0.5000 0.7280  4 P 2.55, 4 Cu 2.73

Values from the calculation:
formation energy = 0.1685 eV per atom
size of the total moment = 0.0 μB/f.u.
V = 13.98 A^3/atom



Entry from Alexandria: a geometry-optimized CuP2W structure (PBE-GGA).

Cell: 2.8868 2.8868 7.6105 Å, 90.00 90.00 112.38°
Closest atoms and distances in Å follow each position.
Positions (direct):
Cu 0.0000 0.0000 0.0000  4 P 2.50
P 0.5000 0.5000 0.2524  2 W 2.48, 2 Cu 2.50
P 0.5000 0.5000 0.7476  2 W 2.48, 2 Cu 2.50
W 0.0000 0.0000 0.5000  4 P 2.48

Values from the calculation:
formation energy = 0.3715 eV per atom
size of the total moment = 0.0 μB/f.u.
V = 14.66 A^3/atom



Entry from Alexandria: a geometry-optimized CuP2W structure (PBE-GGA).

Cell: 4.8533 4.8533 2.8214 Å, 100.72 100.72 109.20°
Closest atoms and distances in Å follow each position.
Positions (direct):
Cu 0.0000 0.0000 0.0000  4 P 2.43
P 0.0000 0.5000 0.0000  2 W 2.43, 2 Cu 2.43
P 0.5000 0.0000 0.0000  2 W 2.43, 2 Cu 2.43
W 0.5000 0.5000 0.0000  4 P 2.43

Values from the calculation:
formation energy = 0.3795 eV per atom
size of the total moment = 0.0 μB/f.u.
V = 14.86 A^3/atom



Entry from Alexandria: a geometry-optimized CuPW2 structure (PBE-GGA).

Cell: 4.8018 4.8018 2.7788 Å, 99.95 99.95 110.59°
Closest atoms and distances in Å follow each position.
Positions (direct):
Cu 0.0000 0.0000 0.0000  4 W 2.56, 2 P 2.73, 2 Cu 2.78
P 0.5000 0.5000 0.0000  4 W 2.56, 2 Cu 2.73, 2 P 2.78
W 0.0000 0.5000 0.5000  2 Cu 2.56, 2 P 2.56, 4 W 2.73-2.78
W 0.5000 0.0000 0.5000  2 Cu 2.56, 2 P 2.56, 4 W 2.73-2.78

Values from the calculation:
formation energy = 0.3635 eV per atom
size of the total moment = 0.0 μB/f.u.
V = 14.29 A^3/atom



Entry from Alexandria: a geometry-optimized CuPW2 structure (PBE-GGA).

Cell: 9.4496 9.4496 9.4496 Å, 157.39 157.39 32.19°
Closest atoms and distances in Å follow each position.
Positions (direct):
Cu 0.0000 0.0000 0.0000  4 W 2.62, 4 P 2.62
Cu 0.7500 0.2500 0.5000  4 W 2.62, 4 P 2.62
P 0.2500 0.7500 0.5000  4 Cu 2.62, 4 W 2.62
P 0.5000 0.5000 0.0000  4 Cu 2.62, 4 W 2.62
W 0.1232 0.6250 0.9982  4 W 2.61-2.63, 2 Cu 2.62, 2 P 2.62
W 0.3750 0.3732 0.4982  4 W 2.61-2.63, 2 Cu 2.62, 2 P 2.62
W 0.6268 0.1250 0.0018  4 W 2.61-2.63, 2 Cu 2.62, 2 P 2.62
W 0.8750 0.8768 0.5018  4 W 2.61-2.63, 2 Cu 2.62, 2 P 2.62

Values from the calculation:
formation energy = 0.6038 eV per atom
size of the total moment = 0.0 μB/f.u.
V = 15.57 A^3/atom



Entry from Alexandria: a geometry-optimized Cu2P2W structure (PBE-GGA).

Cell: 6.3473 6.3473 3.3830 Å, 90.00 90.00 90.00°
Closest atoms and distances in Å follow each position.
Positions (direct):
Cu 0.1470 0.3530 0.0000  6 P 2.49-2.53, 1 Cu 2.64
Cu 0.3530 0.8530 0.0000  6 P 2.49-2.53, 1 Cu 2.64
Cu 0.6470 0.1470 0.0000  6 P 2.49-2.53, 1 Cu 2.64
Cu 0.8530 0.6470 0.0000  6 P 2.49-2.53, 1 Cu 2.64
P 0.1496 0.6496 0.5000  2 W 2.42, 6 Cu 2.49-2.53, 1 P 2.69
P 0.3504 0.1496 0.5000  2 W 2.42, 6 Cu 2.49-2.53, 1 P 2.69
P 0.6496 0.8504 0.5000  2 W 2.42, 6 Cu 2.49-2.53, 1 P 2.69
P 0.8504 0.3504 0.5000  2 W 2.42, 6 Cu 2.49-2.53, 1 P 2.69
W 0.0000 0.0000 0.5000  4 P 2.42
W 0.5000 0.5000 0.5000  4 P 2.42

Values from the calculation:
formation energy = 0.0760 eV per atom
size of the total moment = 0.0 μB/f.u.
V = 13.63 A^3/atom



Entry from Alexandria: a geometry-optimized CuPW structure (PBE-GGA).

Cell: 3.9633 3.9633 3.9633 Å, 60.00 60.00 60.00°
Closest atoms and distances in Å follow each position.
Positions (direct):
Cu 0.0000 0.0000 0.0000  4 P 2.43
P 0.2500 0.2500 0.2500  4 W 2.43, 4 Cu 2.43
W 0.5000 0.5000 0.5000  4 P 2.43

Values from the calculation:
formation energy = 0.1832 eV per atom
size of the total moment = 0.0 μB/f.u.
V = 14.67 A^3/atom



Entry from Alexandria: a geometry-optimized Cu2PW structure (PBE-GGA).

Cell: 2.9935 3.9806 4.4474 Å, 90.00 90.00 90.00°
Closest atoms and distances in Å follow each position.
Positions (direct):
Cu 0.0000 0.0000 0.0000  4 Cu 2.49, 4 W 2.68
Cu 0.5000 0.5000 0.0000  4 Cu 2.49, 4 P 2.68
P 0.0000 0.5000 0.5000  4 W 2.49, 4 Cu 2.68
W 0.5000 0.0000 0.5000  4 P 2.49, 4 Cu 2.68

Values from the calculation:
formation energy = 0.2150 eV per atom
size of the total moment = 0.0 μB/f.u.
V = 13.25 A^3/atom



Entry from Alexandria: a geometry-optimized YCuP structure (PBE-GGA).

Cell: 7.4101 7.4101 7.4101 Å, 149.18 149.18 44.14°
Closest atoms and distances in Å follow each position.
Positions (direct):
Y 0.0000 0.0000 0.0000  6 Cu 3.01-3.03, 6 P 3.01-3.02
Y 0.7500 0.2500 0.5000  6 Cu 3.01-3.03, 6 P 3.01-3.02
Cu 0.1675 0.6675 0.5000  3 P 2.27-2.28
Cu 0.4175 0.4175 0.0000  3 P 2.27-2.28
P 0.3332 0.8332 0.5000  3 Cu 2.27-2.28
P 0.5832 0.5832 0.0000  3 Cu 2.27-2.28

Values from the calculation:
formation energy = -1.0128 eV per atom
size of the total moment = 0.0 μB/f.u.
V = 17.75 A^3/atom



Entry from Alexandria: a geometry-optimized YCuP structure (PBE-GGA).

Cell: 3.9948 3.9948 8.1680 Å, 90.00 90.00 120.00°
Closest atoms and distances in Å follow each position.
Positions (direct):
Y 0.0000 0.0000 0.0000  6 P 2.81-2.95, 1 Cu 3.11
Y 0.3333 0.6667 0.3941  4 P 2.82-3.11, 3 Cu 2.95
Cu 0.0000 0.0000 0.6188  3 Cu 2.46, 3 P 2.64
Cu 0.6667 0.3333 0.7219  3 P 2.35, 3 Cu 2.46
P 0.3333 0.6667 0.7754  3 Cu 2.35
P 0.6667 0.3333 0.1965  6 Y 2.81-2.82

Values from the calculation:
formation energy = -0.8950 eV per atom
size of the total moment = 0.0 μB/f.u.
V = 18.81 A^3/atom



Entry from Alexandria: a geometry-optimized YCuP structure (PBE-GGA).

Cell: 9.0833 9.0833 7.5503 Å, 96.81 96.81 24.61°
Closest atoms and distances in Å follow each position.
Positions (direct):
Y 0.0644 0.0644 0.3233  2 P 2.66-2.68
Y 0.3844 0.3844 0.1684  4 P 2.82-2.83, 4 Cu 3.00-3.13
Y 0.6156 0.6156 0.8316  4 P 2.82-2.83, 4 Cu 3.00-3.13
Y 0.9356 0.9356 0.6767  2 P 2.66-2.68
Cu 0.2464 0.2464 0.3736  4 P 2.35-2.43
Cu 0.2555 0.2555 0.8725  4 P 2.35-2.43
Cu 0.7445 0.7445 0.1275  4 P 2.35-2.43
Cu 0.7536 0.7536 0.6264  4 P 2.35-2.43
P 0.1662 0.1662 0.0918  4 Cu 2.38-2.43, 1 Y 2.66
P 0.1706 0.1706 0.6074  4 Cu 2.35-2.43
P 0.8294 0.8294 0.3926  4 Cu 2.35-2.43
P 0.8338 0.8338 0.9082  4 Cu 2.38-2.43, 1 Y 2.66

Values from the calculation:
formation energy = -0.5357 eV per atom
size of the total moment = 0.0 μB/f.u.
V = 21.46 A^3/atom



Entry from Alexandria: a geometry-optimized YCuP structure (PBE-GGA).

Cell: 4.7811 4.7811 4.7811 Å, 132.36 132.36 69.65°
Closest atoms and distances in Å follow each position.
Positions (direct):
Y 0.0000 0.0000 0.0000  5 Cu 2.74-2.98, 5 P 2.82-2.95
Cu 0.3489 0.3489 0.0000  1 P 2.29
P 0.6408 0.6408 0.0000  1 Cu 2.29

Values from the calculation:
formation energy = -0.4505 eV per atom
size of the total moment = 0.0 μB/f.u.
V = 19.51 A^3/atom



Entry from Alexandria: a geometry-optimized YCuP structure (PBE-GGA).

Cell: 4.5504 4.5504 4.5504 Å, 60.00 60.00 60.00°
Closest atoms and distances in Å follow each position.
Positions (direct):
Y 0.0000 0.0000 0.0000  4 Cu 2.79, 4 P 2.79
Cu 0.2500 0.2500 0.2500  4 Y 2.79
P 0.7500 0.7500 0.7500  4 Y 2.79

Values from the calculation:
formation energy = -0.3000 eV per atom
size of the total moment = 0.0 μB/f.u.
V = 22.21 A^3/atom